DFT (PBE) results for a geometry-optimized KSrSi2 structure.

Cell: 4.2673 4.2673 7.3808 Å, 90.00 90.00 90.00°
Closest atoms and distances in Å follow each position.
Space group P4/mmm (No. 123)
Unique sites:
K1 0.0000 0.0000 0.0000 (multiplicity 1)  2 Sr 3.69, 8 Si 3.96
Sr1 0.0000 0.0000 0.5000 (multiplicity 1)  8 Si 3.22
Si1 0.5000 0.5000 0.3468 (multiplicity 2)  1 Si 2.26

Summary:
**Fermi-level density of states**: 2.8 states/eV/cell
**Distance to the lowest polymorph of the same formula**: 196 meV/atom
**Magnetic moment**: 0.00 μB per formula unit
**Raw formation energy**: 7 kJ/mol of formula units
**Volume**: 134.4 Å³ per cell